[1]
First-principles (GGA-PBE) data for La8Co3Ni after structural relaxation, as listed in the Alexandria database.

Properties
Crystal system: monoclinic
Final energy in eV/cell: -67.1
N(E_F) in states/eV per cell: 9.30
ΔE_f in meV/atom: -52

Cell lengths 5.5880, 8.9171, 8.8710 Å; angles 107.40, 108.36, 90.00 degrees
Element x y z (fractional)
1 La 0.4474 0.6499 0.8949
2 La 0.1160 0.6901 0.2321
3 La 0.6574 0.0059 0.3148
4 La 0.7736 0.6633 0.5471
5 La 0.8827 0.3113 0.7653
6 La 0.5576 0.3437 0.1152
7 La 0.2238 0.3246 0.4476
8 La 0.3437 0.0030 0.6875
9 Co 0.6079 0.6898 0.2158
10 Co 0.3934 0.3051 0.7868
11 Co 0.7100 0.3055 0.4200
12 Ni 0.2848 0.6774 0.5695



[2]
First-principles (GGA-PBE) data for ReRuW after structural relaxation, as listed in the Alexandria database.

Properties
Crystal system: orthorhombic
Final energy in eV/cell: -67.9
N(E_F) in states/eV per cell: 5.40
E above lowest polymorph in meV/atom: 194.8
ΔE_f in meV/atom: 237

Cell lengths 5.0075, 5.0075, 5.0075 Å; angles 120.33, 104.40, 104.26 degrees
Element x y z (fractional)
1 Re 0.6846 0.9792 0.0613
2 Re 0.3952 0.1898 0.5613
3 W 0.9741 0.4799 0.8501
4 W 0.6833 0.6890 0.3501
5 Ru 0.1848 0.0845 0.9562
6 Ru 0.1848 0.5845 0.4562